Record 1
Density functional theory data (PBE) for a geometry-optimized Li4Zn4Cd structure.

Properties
As for the energy above the lowest structure with this stoichiometry: 0 meV per atom. For the total energy, the calculation gives -15.19 eV/cell. The value obtained for the density of states at the Fermi level is 0.347 states/eV per atom.

a = 6.2537 Å, b = 6.2537 Å, c = 6.2537 Å
α = 96.07°, β = 96.07°, γ = 142.05°
With the nearest neighbours (Å) after each atom.
Element x y z (fractional)
Li (0.1699, 0.1699, 0.3398)  6 Zn 2.76-2.87, 4 Li 2.78-2.84, 2 Cd 2.86
Li (0.1699, 0.8301, 0.0000)  6 Zn 2.76-2.87, 4 Li 2.78-2.84, 2 Cd 2.86
Li (0.8301, 0.1699, 0.0000)  6 Zn 2.76-2.87, 4 Li 2.78-2.84, 2 Cd 2.86
Li (0.8301, 0.8301, 0.6602)  6 Zn 2.76-2.87, 4 Li 2.78-2.84, 2 Cd 2.86
Zn (0.1570, 0.5000, 0.6570)  5 Zn 2.63-2.75, 6 Li 2.76-2.87, 1 Cd 2.87
Zn (0.5000, 0.1570, 0.6570)  5 Zn 2.63-2.75, 6 Li 2.76-2.87, 1 Cd 2.87
Zn (0.5000, 0.8430, 0.3430)  5 Zn 2.63-2.75, 6 Li 2.76-2.87, 1 Cd 2.87
Zn (0.8430, 0.5000, 0.3430)  5 Zn 2.63-2.75, 6 Li 2.76-2.87, 1 Cd 2.87
Cd (0.5000, 0.5000, 0.0000)  8 Li 2.86, 4 Zn 2.87



Record 2
Density functional theory data (PBE) for a geometry-optimized ScTaAs structure.

Properties
For the total energy, the calculation gives -48.96 eV/cell. The value obtained for the density of states at the Fermi level is 0.634 states/eV per atom.

a = 5.1985 Å, b = 5.1985 Å, c = 6.7659 Å
α = 97.19°, β = 97.19°, γ = 39.20°
With the nearest neighbours (Å) after each atom.
Element x y z (fractional)
Sc (0.0000, 0.0000, 0.0000)  4 As 2.75-2.91, 2 Ta 3.07
Sc (0.7409, 0.7409, 0.2963)  5 As 2.71-2.92
Ta (0.3846, 0.3846, 0.6436)  3 As 2.75-2.79, 3 Ta 2.78-2.86, 2 Sc 3.07
Ta (0.6697, 0.6697, 0.7324)  4 As 2.67-2.85, 3 Ta 2.78-2.86
As (0.0359, 0.0359, 0.4340)  4 Ta 2.79-2.85, 4 Sc 2.91-2.92
As (0.2837, 0.2837, 0.0042)  3 Ta 2.67-2.75, 5 Sc 2.71-2.78



Computed values of energy of formation from the pure elements (unit: eV per atom) for the preceding records, in sequence: -0.170 -0.549.